The following is a PBE with a Hubbard U calculation of a relaxed structure of BaTh2MoO8, from Alexandria.

Summary:
**V**: 16.757 A^3/atom
**Total moment**: 0.0 μB per cell
**Final energy**: -97.0 eV per formula unit

a = 5.2356 Å, b = 5.2298 Å, c = 7.3464 Å
α = 89.98°, β = 89.99°, γ = 88.45°
Element x y z (fractional)
O 0.8138 0.1881 0.1886
O 0.1862 0.8119 0.8114
O 0.3362 0.3303 0.5001
O 0.1858 0.8117 0.1887
O 0.7291 0.7309 0.9999
O 0.6638 0.6697 0.4999
O 0.8142 0.1883 0.8113
O 0.2709 0.2691 0.0001
Mo 0.0000 0.0000 0.0000
Th 0.5000 0.5001 0.2446
Th 0.5000 0.4999 0.7554
Ba 0.0000 0.0000 0.5000